1.
This record from the Alexandria database describes a relaxed structure of LiTbGe2Pt2. The functional is GGA-PBE.

Values from the calculation:
Its energy of formation is -0.89 eV per atom. For the raw total energy, the calculation gives -5.534 eV/atom. Its space-group type is P-3m1 (164).

Lattice parameters (Å, degrees): 4.360 4.360 6.485 90.00 90.00 120.00
Positions (direct):
Tb 0.000 0.000 0.000
Ge 0.667 0.333 0.703
Ge 0.333 0.667 0.297
Pt 0.333 0.667 0.711
Li 0.000 0.000 0.500
Pt 0.667 0.333 0.289



2.
This record from the Alexandria database describes a relaxed structure of Na2HoSbO4. The functional is GGA-PBE.

Values from the calculation:
For the raw total energy, the calculation gives -5.944 eV/atom. The uncorrected formation energy is -2.05 eV per atom. Its space-group type is P2/m (10).

Lattice parameters (Å, degrees): 3.425 5.967 5.940 109.31 90.00 90.00
Positions (direct):
Na 0.500 0.000 0.500
O 0.500 0.750 0.779
O 0.500 0.250 0.221
Na 0.000 0.500 0.500
Sb 0.000 0.000 0.000
O 0.000 0.731 0.212
O 0.000 0.269 0.788
Ho 0.500 0.500 0.000



3.
This record from the Alexandria database describes a relaxed structure of Sn3PbI8. The functional is GGA-PBE.

Values from the calculation:
For the raw total energy, the calculation gives -2.888 eV/atom. The uncorrected formation energy is -0.54 eV per atom. Its space-group type is C2/m (12).

Lattice parameters (Å, degrees): 9.185 9.178 9.347 120.02 90.00 120.03
Positions (direct):
I 0.251 0.503 0.759
Pb 0.000 0.000 0.000
I 0.745 0.997 0.243
I 0.252 0.504 0.244
I 0.748 0.003 0.757
Sn 0.500 0.500 0.000
I 0.255 0.003 0.757
I 0.252 0.997 0.243
I 0.748 0.496 0.756
Sn 0.000 0.500 0.000
Sn 0.500 0.000 0.000
I 0.749 0.497 0.241



4.
This record from the Alexandria database describes a relaxed structure of ScPt3Rh. The functional is GGA-PBE.

Values from the calculation:
Its energy of formation is 0.65 eV per atom. For the raw total energy, the calculation gives -5.707 eV/atom. Its space-group type is Pm-3m (221). For the distance to the lowest polymorph of the same formula, the calculation gives 120.6 kJ/mol of atoms.

Lattice parameters (Å, degrees): 4.806 4.806 4.806 90.00 90.00 90.00
Last column: magnetic moment on the atom in μB.
Positions (direct):
Sc 0.500 0.500 0.500  0.02
Pt 0.000 0.500 0.000  0.25
Pt 0.500 0.000 0.000  0.12
Pt 0.000 0.000 0.500  0.57
Rh 0.000 0.000 0.000  1.04



5.
This record from the Alexandria database describes a relaxed structure of AgTe3Au. The functional is GGA-PBE.

Values from the calculation:
For the raw total energy, the calculation gives -3.049 eV/atom. The uncorrected formation energy is 0.06 eV per atom. Its space-group type is P-1 (2). For the distance to the lowest polymorph of the same formula, the calculation gives 1.0 kJ/mol of atoms.

Lattice parameters (Å, degrees): 9.996 7.924 6.321 104.90 118.25 49.41
Positions (direct):
Au 0.172 0.994 0.607
Te 0.972 0.582 0.303
Au 0.828 0.006 0.393
Ag 0.413 0.235 0.028
Te 0.566 0.451 0.324
Te 0.627 0.983 0.728
Te 0.028 0.418 0.697
Te 0.373 0.017 0.272
Ag 0.587 0.765 0.972
Te 0.434 0.549 0.676



6.
This record from the Alexandria database describes a relaxed structure of Sc2SnRuC. The functional is GGA-PBE.

Values from the calculation:
Its energy of formation is -0.52 eV per atom. For the raw total energy, the calculation gives -7.556 eV/atom. Its space-group type is P4/mmm (123).

Lattice parameters (Å, degrees): 4.593 4.593 4.001 90.00 90.00 90.00
Positions (direct):
Sn 0.500 0.500 0.500
Sc 0.000 0.500 0.000
Ru 0.000 0.000 0.500
C 0.000 0.000 0.000
Sc 0.500 0.000 0.000



7.
This record from the Alexandria database describes a relaxed structure of LiCaPrCo. The functional is GGA-PBE.

Values from the calculation:
Its energy of formation is 0.14 eV per atom. For the raw total energy, the calculation gives -3.807 eV/atom. Its space-group type is F-43m (216).

Lattice parameters (Å, degrees): 5.033 5.033 5.033 60.00 60.00 60.00
Positions (direct):
Co 0.000 0.000 0.000
Pr 0.750 0.750 0.750
Ca 0.250 0.250 0.250
Li 0.500 0.500 0.500



8.
This record from the Alexandria database describes a relaxed structure of Pm4MgGe3. The functional is GGA-PBE.

Values from the calculation:
Its energy of formation is -0.64 eV per atom. For the raw total energy, the calculation gives -4.942 eV/atom. Its space-group type is Pmm2 (25).

Lattice parameters (Å, degrees): 4.430 4.151 11.392 90.00 90.00 90.00
Positions (direct):
Pm 0.500 0.500 0.370
Ge 0.500 0.000 0.911
Mg 0.500 0.500 0.066
Ge 0.000 0.500 0.584
Pm 0.000 0.000 0.152
Pm 0.000 0.500 0.854
Pm 0.500 0.000 0.637
Ge 0.000 0.000 0.426



9.
This record from the Alexandria database describes a relaxed structure of KPt2Br. The functional is GGA-PBE.

Values from the calculation:
For the raw total energy, the calculation gives -3.781 eV/atom. The uncorrected formation energy is -0.07 eV per atom. Its space-group type is Cm (8). For the distance to the lowest polymorph of the same formula, the calculation gives 12.2 kJ/mol of atoms.

Lattice parameters (Å, degrees): 4.469 4.469 7.520 72.99 72.99 48.14
Positions (direct):
Pt 0.982 0.982 0.190
Pt 0.314 0.314 0.091
Br 0.499 0.499 0.457
K 0.705 0.705 0.762



10.
This record from the Alexandria database describes a relaxed structure of BaHf3Cl. The functional is GGA-PBE.

Values from the calculation:
For the raw total energy, the calculation gives -6.328 eV/atom. The uncorrected formation energy is 0.40 eV per atom. Its space-group type is Pm-3m (221). For the distance to the lowest polymorph of the same formula, the calculation gives 0.0 kJ/mol of atoms.

Lattice parameters (Å, degrees): 5.030 5.030 5.030 90.00 90.00 90.00
Positions (direct):
Hf 0.000 0.500 0.000
Hf 0.500 0.000 0.000
Cl 0.000 0.000 0.000
Hf 0.000 0.000 0.500
Ba 0.500 0.500 0.500



11.
This record from the Alexandria database describes a relaxed structure of CeTl2Ag. The functional is GGA-PBE.

Values from the calculation:
Its energy of formation is -0.11 eV per atom. For the raw total energy, the calculation gives -3.491 eV/atom. Its space-group type is P4/mmm (123). For the distance to the lowest polymorph of the same formula, the calculation gives 7.4 kJ/mol of atoms.

Lattice parameters (Å, degrees): 4.588 4.795 4.795 90.00 90.00 90.00
Last column: magnetic moment on the atom in μB.
Positions (direct):
Ce 0.500 0.500 0.500  0.85
Tl 0.000 0.000 0.500  0.02
Ag 0.500 0.000 0.000  0.01
Tl 0.000 0.500 0.000  0.02



12.
This record from the Alexandria database describes a relaxed structure of LaTmCuAu. The functional is GGA-PBE.

Values from the calculation:
Its energy of formation is -0.48 eV per atom. For the raw total energy, the calculation gives -4.673 eV/atom. Its space-group type is F-43m (216). For the distance to the lowest polymorph of the same formula, the calculation gives 3.4 kJ/mol of atoms.

Lattice parameters (Å, degrees): 5.128 5.128 5.128 60.00 60.00 60.00
Positions (direct):
La 0.500 0.500 0.500
Tm 0.000 0.000 0.000
Cu 0.750 0.750 0.750
Au 0.250 0.250 0.250



13.
This record from the Alexandria database describes a relaxed structure of CsYSb2. The functional is GGA-PBE.

Values from the calculation:
For the raw total energy, the calculation gives -4.367 eV/atom. The uncorrected formation energy is -0.48 eV per atom. Its space-group type is R-3m (166). For the distance to the lowest polymorph of the same formula, the calculation gives 0.0 kJ/mol of atoms.

Lattice parameters (Å, degrees): 4.072 4.072 10.482 78.80 78.80 60.00
Positions (direct):
Y 0.000 0.000 0.000
Sb 0.265 0.265 0.206
Cs 0.500 0.500 0.500
Sb 0.735 0.735 0.794



14.
This record from the Alexandria database describes a relaxed structure of Y3Ga4Hg2. The functional is GGA-PBE.

Values from the calculation:
Its energy of formation is -0.55 eV per atom. For the raw total energy, the calculation gives -4.116 eV/atom. Its space-group type is C2/m (12).

Lattice parameters (Å, degrees): 4.522 5.871 8.724 108.72 90.00 112.65
Positions (direct):
Ga 0.071 0.142 0.415
Hg 0.594 0.188 0.264
Y 0.674 0.348 0.665
Y 0.326 0.652 0.335
Ga 0.296 0.592 0.973
Y 0.000 0.000 0.000
Ga 0.929 0.858 0.585
Ga 0.704 0.408 0.027
Hg 0.406 0.812 0.736



15.
This record from the Alexandria database describes a relaxed structure of Eu2O3. The functional is GGA-PBE.

Values from the calculation:
For the raw total energy, the calculation gives -9.757 eV/atom. The uncorrected formation energy is -2.67 eV per atom. Its space-group type is C2/m (12).

Lattice parameters (Å, degrees): 3.642 7.415 8.918 99.50 90.00 104.22
Last column: magnetic moment on the atom in μB.
Positions (direct):
O 0.211 0.423 0.621  -0.19
O 0.125 0.251 0.287  -0.14
Eu 0.688 0.376 0.133  -6.30
O 0.469 0.938 0.341  -0.21
Eu 0.031 0.062 0.813  6.23
Eu 0.312 0.624 0.867  -6.30
Eu 0.969 0.938 0.187  6.23
O 0.500 0.000 0.000  -0.15
O 0.174 0.348 0.968  0.06
O 0.875 0.749 0.713  -0.14
O 0.789 0.577 0.379  -0.19
O 0.531 0.062 0.659  -0.21
Eu 0.362 0.723 0.511  6.29
Eu 0.638 0.277 0.489  6.29
O 0.826 0.652 0.032  0.06



16.
This record from the Alexandria database describes a relaxed structure of PmSm2PaS4. The functional is GGA-PBE.

Values from the calculation:
For the raw total energy, the calculation gives -6.923 eV/atom. The uncorrected formation energy is -1.90 eV per atom. Its space-group type is P2/m (10).

Lattice parameters (Å, degrees): 3.964 6.905 6.907 109.15 90.00 90.00
Positions (direct):
S 0.500 0.745 0.752
S 0.500 0.255 0.248
Pa 0.500 0.500 0.000
Pm 0.000 0.000 0.000
Sm 0.500 0.000 0.500
Sm 0.000 0.500 0.500
S 0.000 0.255 0.754
S 0.000 0.745 0.246



17.
This record from the Alexandria database describes a relaxed structure of Pm8PS5. The functional is GGA-PBE.

Values from the calculation:
For the raw total energy, the calculation gives -6.106 eV/atom. The uncorrected formation energy is -1.53 eV per atom. Its space-group type is I-4 (82).

Lattice parameters (Å, degrees): 7.454 7.454 7.454 109.39 109.39 109.63
Positions (direct):
Pm 0.126 0.507 0.748
Pm 0.622 0.874 0.382
S 0.500 0.500 0.000
S 0.376 0.998 0.124
Pm 0.126 0.005 0.751
Pm 0.625 0.874 0.879
S 0.875 0.252 0.876
Pm 0.493 0.241 0.618
S 0.002 0.125 0.377
Pm 0.995 0.746 0.121
P 0.250 0.750 0.500
Pm 0.254 0.375 0.249
Pm 0.759 0.378 0.252
S 0.748 0.624 0.623